[1]
# Rb3TbSb2O8 | the Alexandria database | PBE | optimized geometry
data_Rb3TbSb2O8
_symmetry_space_group_name_H-M 'P 1'
_symmetry_Int_Tables_number 1
_cell_length_a 6.248
_cell_length_b 6.248
_cell_length_c 8.104
_cell_angle_alpha 90.00
_cell_angle_beta 90.00
_cell_angle_gamma 120.00
loop_
_symmetry_equiv_pos_as_xyz
'x,y,z'
loop_
_atom_site_label
_atom_site_fract_x
_atom_site_fract_y
_atom_site_fract_z
Rb1 0.000 0.000 0.000
Rb2 0.333 0.667 0.683
Rb3 0.667 0.333 0.317
Tb1 0.000 0.000 0.500
Sb1 0.333 0.667 0.241
Sb2 0.667 0.333 0.759
O1 0.170 0.340 0.334
O2 0.170 0.830 0.334
O3 0.333 0.667 0.011
O4 0.340 0.170 0.666
O5 0.660 0.830 0.334
O6 0.667 0.333 0.989
O7 0.830 0.170 0.666
O8 0.830 0.660 0.666
# energy relative to the elements, uncorrected	-1.88	eV per atom
# final energy	-5.8398	eV/atom
# D(E_F)	0.0	states/eV/cell
# space-group type	P-3m1 (164)
# calculated density	4.8	g/cm³
# magnetization	0.0	μB/cell

=====

[2]
# TlOsPd2Au | the Alexandria database | PBE | optimized geometry
data_TlOsPd2Au
_symmetry_space_group_name_H-M 'P 1'
_symmetry_Int_Tables_number 1
_cell_length_a 4.827
_cell_length_b 4.827
_cell_length_c 5.254
_cell_angle_alpha 90.00
_cell_angle_beta 90.00
_cell_angle_gamma 90.00
loop_
_symmetry_equiv_pos_as_xyz
'x,y,z'
loop_
_atom_site_label
_atom_site_fract_x
_atom_site_fract_y
_atom_site_fract_z
Tl1 0.000 0.000 0.000
Os1 0.000 0.000 0.500
Pd1 0.000 0.500 0.500
Pd2 0.500 0.000 0.500
Au1 0.500 0.500 0.000
# final energy	-4.2619	eV/atom
# D(E_F)	6.9	states/eV/cell
# space-group type	P4/mmm (123)
# calculated density	10.9	g/cm³
# magnetization	0.0	μB/cell
# formation energy from the elements	1190	meV/atom

=====

[3]
# HfNb2Ni6 | the Alexandria database | PBE | optimized geometry
data_HfNb2Ni6
_symmetry_space_group_name_H-M 'P 1'
_symmetry_Int_Tables_number 1
_cell_length_a 5.128
_cell_length_b 5.128
_cell_length_c 5.466
_cell_angle_alpha 90.00
_cell_angle_beta 90.00
_cell_angle_gamma 120.00
loop_
_symmetry_equiv_pos_as_xyz
'x,y,z'
loop_
_atom_site_label
_atom_site_fract_x
_atom_site_fract_y
_atom_site_fract_z
Hf1 0.000 0.000 0.000
Nb1 0.333 0.667 0.861
Nb2 0.667 0.333 0.139
Ni1 0.180 0.359 0.336
Ni2 0.180 0.820 0.336
Ni3 0.359 0.180 0.664
Ni4 0.641 0.820 0.336
Ni5 0.820 0.180 0.664
Ni6 0.820 0.641 0.664
# final energy	-7.2866	eV/atom
# D(E_F)	9.5	states/eV/cell
# space-group type	P-3m1 (164)
# calculated density	9.6	g/cm³
# magnetization	0.0	μB/cell
# formation energy from the elements	-89	meV/atom

=====

[4]
# Al2TlHgTe4 | the Alexandria database | PBE | optimized geometry
data_Al2TlHgTe4
_symmetry_space_group_name_H-M 'P 1'
_symmetry_Int_Tables_number 1
_cell_length_a 9.155
_cell_length_b 9.155
_cell_length_c 9.155
_cell_angle_alpha 141.17
_cell_angle_beta 141.17
_cell_angle_gamma 56.09
loop_
_symmetry_equiv_pos_as_xyz
'x,y,z'
loop_
_atom_site_label
_atom_site_fract_x
_atom_site_fract_y
_atom_site_fract_z
Al1 0.250 0.750 0.500
Al2 0.750 0.250 0.500
Tl1 0.000 0.000 0.000
Hg1 0.500 0.500 0.000
Te1 0.106 0.106 0.517
Te2 0.411 0.894 0.000
Te3 0.589 0.589 0.483
Te4 0.894 0.411 0.000
# energy relative to the elements, uncorrected	-0.22	eV per atom
# final energy	-3.0614	eV/atom
# D(E_F)	5.2	states/eV/cell
# space-group type	I-42m (121)
# calculated density	5.4	g/cm³
# magnetization	0.0	μB/cell

=====

[5]
# Li5AgSn4 | the Alexandria database | PBE | optimized geometry
data_Li5AgSn4
_symmetry_space_group_name_H-M 'P 1'
_symmetry_Int_Tables_number 1
_cell_length_a 3.389
_cell_length_b 3.389
_cell_length_c 16.884
_cell_angle_alpha 90.00
_cell_angle_beta 90.00
_cell_angle_gamma 90.00
loop_
_symmetry_equiv_pos_as_xyz
'x,y,z'
loop_
_atom_site_label
_atom_site_fract_x
_atom_site_fract_y
_atom_site_fract_z
Li1 0.000 0.000 0.000
Li2 0.000 0.000 0.212
Li3 0.000 0.000 0.414
Li4 0.000 0.000 0.586
Li5 0.000 0.000 0.788
Ag1 0.500 0.500 0.500
Sn1 0.500 0.500 0.104
Sn2 0.500 0.500 0.317
Sn3 0.500 0.500 0.683
Sn4 0.500 0.500 0.896
# final energy	-3.1425	eV/atom
# D(E_F)	3.7	states/eV/cell
# space-group type	P4/mmm (123)
# calculated density	5.3	g/cm³
# magnetization	0.0	μB/cell
# formation energy from the elements	-299	meV/atom

=====

[6]
# ThSi2Rh | the Alexandria database | PBE | optimized geometry
data_ThSi2Rh
_symmetry_space_group_name_H-M 'P 1'
_symmetry_Int_Tables_number 1
_cell_length_a 5.653
_cell_length_b 5.653
_cell_length_c 5.653
_cell_angle_alpha 42.63
_cell_angle_beta 42.63
_cell_angle_gamma 42.63
loop_
_symmetry_equiv_pos_as_xyz
'x,y,z'
loop_
_atom_site_label
_atom_site_fract_x
_atom_site_fract_y
_atom_site_fract_z
Th1 0.000 0.000 0.000
Si1 0.211 0.211 0.211
Si2 0.789 0.789 0.789
Rh1 0.500 0.500 0.500
# energy relative to the elements, uncorrected	-0.93	eV per atom
# final energy	-7.3295	eV/atom
# D(E_F)	1.9	states/eV/cell
# space-group type	R-3m (166)
# calculated density	8.7	g/cm³
# magnetization	0.0	μB/cell

=====

> Which value of magnetization does entry 6 give?

0.0 μB/cell